Arrangement w

{
  "formula": "BaSiPS2",
  "functional": "PBE-GGA",
  "state": "relaxed",
  "cell": [[4.8830, 0.0000, 0.0000], [0.0000, 4.8830, 0.0000], [0.0000, 0.0000, 4.5822]],
  "species": ["Ba", "S", "S", "P", "Si"],
  "frac_coords": [[0.5000, 0.5000, 0.5000], [0.5000, 0.0000, 0.0000], [0.0000, 0.5000, 0.0000], [0.0000, 0.0000, 0.5000], [0.0000, 0.0000, 0.0000]],
  "dos_at_fermi_per_ev_fu": 2.219,
  "space_group": "P4/mmm"
}

---

Arrangement x

{
  "formula": "BaSiPS2",
  "functional": "PBE-GGA",
  "state": "relaxed",
  "cell": [[-0.8689, -5.2951, -2.2778], [1.0870, -2.4127, 5.1941], [-5.7578, 0.3555, 1.3701]],
  "species": ["Ba", "S", "S", "P", "Si"],
  "frac_coords": [[0.0000, 0.0000, 0.0000], [0.5000, 0.0000, 0.0000], [0.0000, 0.5000, 0.0000], [0.0000, 0.0000, 0.5000], [0.5000, 0.5000, 0.5000]],
  "dos_at_fermi_per_ev_fu": 5.312,
  "space_group": "P4/mmm"
}

---

Computed stability ranking, most favorable first: arrangement w, arrangement x

---

Arrangement w

{
  "formula": "BaSnPS2",
  "functional": "PBE-GGA",
  "state": "relaxed",
  "cell": [[5.6495, 0.0000, 0.0000], [0.0000, 5.6495, 0.0000], [0.0000, 0.0000, 5.5361]],
  "species": ["Sn", "S", "S", "Ba", "P"],
  "frac_coords": [[0.5000, 0.5000, 0.5000], [0.5000, 0.0000, 0.0000], [0.0000, 0.5000, 0.0000], [0.0000, 0.0000, 0.0000], [0.0000, 0.0000, 0.5000]],
  "dos_at_fermi_per_ev_fu": 5.934,
  "space_group": "P4/mmm"
}

---

Arrangement x

{
  "formula": "BaSnPS2",
  "functional": "PBE-GGA",
  "state": "relaxed",
  "cell": [[5.1799, 0.0000, 0.0000], [0.0000, 5.1799, 0.0000], [0.0000, 0.0000, 5.0248]],
  "species": ["S", "S", "Ba", "Sn", "P"],
  "frac_coords": [[0.5000, 0.0000, 0.0000], [0.0000, 0.5000, 0.0000], [0.5000, 0.5000, 0.5000], [0.0000, 0.0000, 0.0000], [0.0000, 0.0000, 0.5000]],
  "dos_at_fermi_per_ev_fu": 3.813,
  "space_group": "P4/mmm"
}

---

Computed stability ranking, most favorable first: arrangement x, arrangement w

---

Arrangement w

{
  "formula": "BaSrPS2",
  "functional": "PBE-GGA",
  "state": "relaxed",
  "cell": [[5.6891, 0.0000, 0.0000], [0.0000, 5.6891, 0.0000], [0.0000, 0.0000, 5.5081]],
  "species": ["S", "S", "Ba", "Sr", "P"],
  "frac_coords": [[0.0000, 0.5000, 0.0000], [0.5000, 0.0000, 0.0000], [0.0000, 0.0000, 0.0000], [0.5000, 0.5000, 0.5000], [0.0000, 0.0000, 0.5000]],
  "dos_at_fermi_per_ev_fu": 6.705,
  "space_group": "P4/mmm"
}

---

Arrangement x

{
  "formula": "BaSrPS2",
  "functional": "PBE-GGA",
  "state": "relaxed",
  "cell": [[5.5206, 0.0000, 0.0000], [0.0000, 5.5206, 0.0000], [0.0000, 0.0000, 5.4097]],
  "species": ["S", "S", "P", "Ba", "Sr"],
  "frac_coords": [[0.0000, 0.5000, 0.0000], [0.5000, 0.0000, 0.0000], [0.0000, 0.0000, 0.5000], [0.5000, 0.5000, 0.5000], [0.0000, 0.0000, 0.0000]],
  "dos_at_fermi_per_ev_fu": 6.908,
  "space_group": "P4/mmm"
}

---

Computed stability ranking, most favorable first: arrangement x, arrangement w